1.
! PBE LaTe2Br, relaxed; values from VASP
! Uncorrected formation energy   0.53 eV/f.u.
! Distance to the lowest polymorph of the same formula   1.329 eV per atom
! E_tot   -3.088 eV/atom
&SYSTEM
  ibrav = 0, nat = 12, ntyp = 3
/
ATOMIC_SPECIES
La 138.91 La.upf
Te 127.60 Te.upf
Br 79.90 Br.upf
ATOMIC_POSITIONS crystal
La 0.000 0.000 0.000
La 0.333 0.667 0.667
La 0.667 0.333 0.333
Te 0.000 0.000 0.092
Te 0.000 0.000 0.908
Te 0.333 0.667 0.574
Te 0.333 0.667 0.759
Te 0.667 0.333 0.241
Te 0.667 0.333 0.426
Br 0.000 0.000 0.500
Br 0.333 0.667 0.167
Br 0.667 0.333 0.833
CELL_PARAMETERS angstrom
3.682 0.000 0.000
-1.841 3.189 0.000
0.000 0.000 33.649

=====

2.
! PBE La2TeBr2, relaxed; values from VASP
! Uncorrected formation energy   -8.59 eV/f.u.
! E_tot   -4.987 eV/atom
&SYSTEM
  ibrav = 0, nat = 10, ntyp = 3
/
ATOMIC_SPECIES
La 138.91 La.upf
Te 127.60 Te.upf
Br 79.90 Br.upf
ATOMIC_POSITIONS crystal
La 0.168 0.000 0.171
La 0.332 0.500 0.829
La 0.668 0.500 0.171
La 0.832 0.000 0.829
Te 0.000 0.500 0.000
Te 0.500 0.000 0.000
Br 0.164 0.000 0.664
Br 0.336 0.500 0.336
Br 0.664 0.500 0.664
Br 0.836 0.000 0.336
CELL_PARAMETERS angstrom
7.695 0.000 0.000
0.000 4.440 0.000
-0.066 0.000 10.751

=====

3.
! PBE LaTeBr2, relaxed; values from VASP
! Uncorrected formation energy   -4.10 eV/f.u.
! Distance to the lowest polymorph of the same formula   0.358 eV per atom
! E_tot   -3.879 eV/atom
&SYSTEM
  ibrav = 0, nat = 16, ntyp = 3
/
ATOMIC_SPECIES
La 138.91 La.upf
Te 127.60 Te.upf
Br 79.90 Br.upf
ATOMIC_POSITIONS crystal
La 0.000 0.000 0.000
La 0.000 0.500 0.500
La 0.500 0.000 0.500
La 0.500 0.500 0.000
Te 0.000 0.000 0.500
Te 0.000 0.500 0.000
Te 0.500 0.000 0.000
Te 0.500 0.500 0.500
Br 0.250 0.250 0.250
Br 0.250 0.250 0.750
Br 0.250 0.750 0.250
Br 0.250 0.750 0.750
Br 0.750 0.250 0.250
Br 0.750 0.250 0.750
Br 0.750 0.750 0.250
Br 0.750 0.750 0.750
CELL_PARAMETERS angstrom
7.713 0.000 0.000
0.000 7.713 0.000
0.000 0.000 7.713